Entry 1:
Here is a relaxed SmHf2Re crystal from Alexandria via LeMat-Bulk. Energies are from PBE.

abc: 3.318 3.318 8.251
angles: 90.00 90.00 90.00
Positions (direct):
Re1 0.500 0.500 0.000
Hf1 0.000 0.000 0.813
Hf2 0.000 0.000 0.187
Sm1 0.500 0.500 0.500

Summary:
- Total magnetic moment: 0.0 μB/f.u.
- Total DFT energy (no corrections): -9.36 eV/atom
- Density of states at the Fermi level: 4.18 states/eV/f.u.



Entry 2:
Here is a relaxed HfRe3Sn crystal from Alexandria via LeMat-Bulk. Energies are from PBE.

abc: 4.848 4.848 4.848
angles: 90.00 90.00 90.00
Each line ends with the local moment (μB).
Positions (direct):
Re1 0.000 0.500 0.000  0.85
Re2 0.000 0.000 0.500  0.97
Re3 0.500 0.000 0.000  1.09
Hf1 0.000 0.000 0.000  -0.01
Sn1 0.500 0.500 0.500  0.02

Summary:
- Relative energy among the computed polymorphs: 117.5 meV/atom
- Total magnetic moment: 3.3 μB/f.u.
- Total DFT energy (no corrections): -7.92 eV/atom
- Density of states at the Fermi level: 4.43 states/eV/f.u.



Entry 3:
Here is a relaxed Hf4ReSn crystal from Alexandria via LeMat-Bulk. Energies are from PBE.

abc: 5.169 5.819 9.635
angles: 90.00 105.56 90.00
Positions (direct):
Hf1 0.887 0.322 0.775
Hf2 0.113 0.822 0.225
Hf3 0.443 0.823 0.885
Hf4 0.557 0.323 0.115
Hf5 0.701 0.571 0.403
Hf6 0.299 0.071 0.597
Hf7 0.701 0.073 0.403
Hf8 0.299 0.573 0.597
Re1 0.582 0.823 0.164
Re2 0.418 0.323 0.836
Sn1 0.847 0.822 0.694
Sn2 0.153 0.322 0.306

Summary:
- Total magnetic moment: 0.0 μB/f.u.
- Total DFT energy (no corrections): -9.26 eV/atom
- Density of states at the Fermi level: 5.10 states/eV/f.u.



Entry 4:
Here is a relaxed Hf3ReSn crystal from Alexandria via LeMat-Bulk. Energies are from PBE.

abc: 5.083 5.083 5.083
angles: 90.00 90.00 90.00
Positions (direct):
Re1 0.500 0.500 0.500
Hf1 0.000 0.500 0.000
Hf2 0.000 0.000 0.500
Hf3 0.500 0.000 0.000
Sn1 0.000 0.000 0.000

Summary:
- Relative energy among the computed polymorphs: 1275.5 meV/atom
- Total magnetic moment: 0.0 μB/f.u.
- Total DFT energy (no corrections): -7.52 eV/atom
- Density of states at the Fermi level: 8.20 states/eV/f.u.



Entry 5:
Here is a relaxed Hf6Re2Sn crystal from Alexandria via LeMat-Bulk. Energies are from PBE.

abc: 7.993 7.993 7.993
angles: 101.17 113.60 113.95
Positions (direct):
Hf1 0.514 0.709 0.805
Hf2 0.486 0.291 0.195
Hf3 0.096 0.291 0.805
Hf4 0.904 0.709 0.195
Hf5 0.790 0.756 0.546
Hf6 0.210 0.244 0.454
Hf7 0.210 0.756 0.966
Hf8 0.790 0.244 0.034
Hf9 0.695 0.364 0.670
Hf10 0.305 0.636 0.330
Hf11 0.305 0.975 0.670
Hf12 0.695 0.025 0.330
Re1 0.500 0.372 0.872
Re2 0.500 0.628 0.128
Re3 0.672 0.000 0.672
Re4 0.328 0.000 0.328
Sn1 0.000 0.500 0.500
Sn2 0.000 0.000 0.000

Summary:
- Total magnetic moment: 0.0 μB/f.u.
- Total DFT energy (no corrections): -9.98 eV/atom
- Density of states at the Fermi level: 6.24 states/eV/f.u.



Entry 6:
Here is a relaxed HfReSn2 crystal from Alexandria via LeMat-Bulk. Energies are from PBE.

abc: 4.106 4.106 10.667
angles: 78.90 78.90 90.00
Positions (direct):
Re1 0.000 0.000 0.000
Re2 0.750 0.250 0.500
Hf1 0.500 0.500 0.000
Hf2 0.250 0.750 0.500
Sn1 0.627 0.125 0.250
Sn2 0.123 0.625 0.250
Sn3 0.375 0.373 0.750
Sn4 0.875 0.877 0.750

Summary:
- Relative energy among the computed polymorphs: 195.5 meV/atom
- Total magnetic moment: 0.0 μB/f.u.
- Total DFT energy (no corrections): -7.19 eV/atom
- Density of states at the Fermi level: 2.12 states/eV/f.u.



What did we get for formation energy from the elements? Answer: -0.087; 2.339; 0.115; 1.746; -0.129; 0.416 eV/atom, in the order shown.